! PBE Ba3Br, optimized geometry; values from VASP
&SYSTEM
  ibrav = 0, nat = 4, ntyp = 2
/
ATOMIC_SPECIES
Ba 137.33 Ba.upf
Br 79.90 Br.upf
ATOMIC_POSITIONS crystal
Ba 0.000 0.500 0.500
Ba 0.500 0.000 0.500
Ba 0.500 0.500 0.000
Br 0.000 0.000 0.000
CELL_PARAMETERS angstrom
5.867 0.000 0.000
0.000 5.867 0.000
0.000 0.000 5.867
! Magnetic moment in μB per cell: 2.39
! ΔE_f (raw) in meV per atom: -324
! Energy above the lowest structure with this stoichiometry in meV/atom: 430